No. 1
VASP calculation (PBE) on an optimized crystal structure of Sm3Dy4Ho.

## Properties
E above lowest polymorph = 0 meV per atom
V = 523.0 Å³/cell
DFT total energy = -4.625 eV/atom
Calculated formation energy = 0.017 eV per atom

```
data_Sm3Dy4Ho
_cell_length_a 11.380
_cell_length_b 7.294
_cell_length_c 6.301
_cell_angle_alpha 90.00
_cell_angle_beta 90.00
_cell_angle_gamma 90.00
_symmetry_space_group_name_H-M 'P 1'
_symmetry_Int_Tables_number 1
loop_
_symmetry_equiv_pos_as_xyz
'x,y,z'
loop_
_atom_site_label
_atom_site_type_symbol
_atom_site_fract_x
_atom_site_fract_y
_atom_site_fract_z
Sm1 Sm 0.000 0.126 0.000
Sm2 Sm 0.250 0.126 0.333
Sm3 Sm 0.250 0.874 0.833
Sm4 Sm 0.500 0.874 0.500
Sm5 Sm 0.750 0.126 0.333
Sm6 Sm 0.750 0.874 0.833
Dy1 Dy 0.000 0.376 0.501
Dy2 Dy 0.000 0.623 0.000
Dy3 Dy 0.249 0.624 0.333
Dy4 Dy 0.251 0.376 0.833
Dy5 Dy 0.500 0.377 0.500
Dy6 Dy 0.500 0.624 0.001
Dy7 Dy 0.749 0.376 0.833
Dy8 Dy 0.751 0.624 0.333
Ho1 Ho 0.000 0.872 0.500
Ho2 Ho 0.500 0.128 0.000
```

No. 2
VASP calculation (PBE) on an optimized crystal structure of Li2PbCl.

## Properties
E above lowest polymorph = 505 meV per atom
Formation energy from raw total energies = -1.70 eV/f.u.
V = 89.5 Å³/cell
DFT total energy = -2.771 eV/atom

```
data_Li2PbCl
_cell_length_a 5.462
_cell_length_b 5.462
_cell_length_c 5.462
_cell_angle_alpha 131.49
_cell_angle_beta 131.49
_cell_angle_gamma 71.04
_symmetry_space_group_name_H-M 'P 1'
_symmetry_Int_Tables_number 1
loop_
_symmetry_equiv_pos_as_xyz
'x,y,z'
loop_
_atom_site_label
_atom_site_type_symbol
_atom_site_fract_x
_atom_site_fract_y
_atom_site_fract_z
Li1 Li 0.250 0.750 0.500
Li2 Li 0.750 0.250 0.500
Pb1 Pb 0.000 0.000 0.000
Cl1 Cl 0.500 0.500 0.000
```

No. 3
VASP calculation (PBE) on an optimized crystal structure of SiHgMo2.

## Properties
E above lowest polymorph = 162 meV per atom
Formation energy from raw total energies = 1.34 eV/f.u.
V = 66.0 Å³/cell
DFT total energy = -6.512 eV/atom

```
data_SiHgMo2
_cell_length_a 5.100
_cell_length_b 5.100
_cell_length_c 5.100
_cell_angle_alpha 141.55
_cell_angle_beta 125.53
_cell_angle_gamma 68.63
_symmetry_space_group_name_H-M 'P 1'
_symmetry_Int_Tables_number 1
loop_
_symmetry_equiv_pos_as_xyz
'x,y,z'
loop_
_atom_site_label
_atom_site_type_symbol
_atom_site_fract_x
_atom_site_fract_y
_atom_site_fract_z
Si1 Si 0.000 0.000 0.000
Hg1 Hg 0.500 0.500 0.000
Mo1 Mo 0.215 0.715 0.500
Mo2 Mo 0.785 0.285 0.500
```

No. 4
VASP calculation (PBE) on an optimized crystal structure of InRe2Pb.

## Properties
E above lowest polymorph = 801 meV per atom
V = 75.8 Å³/cell
DFT total energy = -6.718 eV/atom
Calculated formation energy = 1.118 eV per atom

```
data_InRe2Pb
_cell_length_a 2.984
_cell_length_b 2.984
_cell_length_c 9.474
_cell_angle_alpha 90.00
_cell_angle_beta 90.00
_cell_angle_gamma 115.97
_symmetry_space_group_name_H-M 'P 1'
_symmetry_Int_Tables_number 1
loop_
_symmetry_equiv_pos_as_xyz
'x,y,z'
loop_
_atom_site_label
_atom_site_type_symbol
_atom_site_fract_x
_atom_site_fract_y
_atom_site_fract_z
In1 In 0.000 0.000 0.000
Re1 Re 0.500 0.500 0.242
Re2 Re 0.500 0.500 0.758
Pb1 Pb 0.000 0.000 0.500
```

No. 5
VASP calculation (PBE) on an optimized crystal structure of PmDyHo.

## Properties
E above lowest polymorph = 49 meV per atom
V = 96.3 Å³/cell
DFT total energy = -4.576 eV/atom
Calculated formation energy = 0.068 eV per atom

```
data_PmDyHo
_cell_length_a 5.636
_cell_length_b 5.636
_cell_length_c 3.499
_cell_angle_alpha 90.00
_cell_angle_beta 90.00
_cell_angle_gamma 120.00
_symmetry_space_group_name_H-M 'P 1'
_symmetry_Int_Tables_number 1
loop_
_symmetry_equiv_pos_as_xyz
'x,y,z'
loop_
_atom_site_label
_atom_site_type_symbol
_atom_site_fract_x
_atom_site_fract_y
_atom_site_fract_z
Pm1 Pm 0.000 0.000 0.000
Dy1 Dy 0.667 0.333 0.500
Ho1 Ho 0.333 0.667 0.000
```

No. 6
VASP calculation (PBE) on an optimized crystal structure of MnPIr2.

## Properties
V = 54.8 Å³/cell
DFT total energy = -8.093 eV/atom
Calculated formation energy = -0.017 eV per atom

```
data_MnPIr2
_cell_length_a 4.386
_cell_length_b 4.386
_cell_length_c 2.914
_cell_angle_alpha 90.00
_cell_angle_beta 90.00
_cell_angle_gamma 101.89
_symmetry_space_group_name_H-M 'P 1'
_symmetry_Int_Tables_number 1
loop_
_symmetry_equiv_pos_as_xyz
'x,y,z'
loop_
_atom_site_label
_atom_site_type_symbol
_atom_site_fract_x
_atom_site_fract_y
_atom_site_fract_z
Mn1 Mn 0.000 0.000 0.000
P1 P 0.500 0.500 0.000
Ir1 Ir 0.000 0.500 0.500
Ir2 Ir 0.500 0.000 0.500
```

No. 7
VASP calculation (PBE) on an optimized crystal structure of TcHg2As.

## Properties
V = 87.8 Å³/cell
DFT total energy = -3.629 eV/atom
Calculated formation energy = 0.276 eV per atom

```
data_TcHg2As
_cell_length_a 2.988
_cell_length_b 2.988
_cell_length_c 10.887
_cell_angle_alpha 90.00
_cell_angle_beta 90.00
_cell_angle_gamma 115.43
_symmetry_space_group_name_H-M 'P 1'
_symmetry_Int_Tables_number 1
loop_
_symmetry_equiv_pos_as_xyz
'x,y,z'
loop_
_atom_site_label
_atom_site_type_symbol
_atom_site_fract_x
_atom_site_fract_y
_atom_site_fract_z
Tc1 Tc 0.000 0.000 0.000
Hg1 Hg 0.000 0.000 0.489
Hg2 Hg 0.500 0.500 0.775
As1 As 0.500 0.500 0.166
```

No. 8
VASP calculation (PBE) on an optimized crystal structure of W5Au.

## Properties
E above lowest polymorph = 0 meV per atom
V = 98.9 Å³/cell
DFT total energy = -10.944 eV/atom
Calculated formation energy = 0.396 eV per atom

```
data_W5Au
_cell_length_a 5.545
_cell_length_b 5.545
_cell_length_c 7.096
_cell_angle_alpha 104.29
_cell_angle_beta 104.29
_cell_angle_gamma 27.93
_symmetry_space_group_name_H-M 'P 1'
_symmetry_Int_Tables_number 1
loop_
_symmetry_equiv_pos_as_xyz
'x,y,z'
loop_
_atom_site_label
_atom_site_type_symbol
_atom_site_fract_x
_atom_site_fract_y
_atom_site_fract_z
W1 W 0.000 0.000 0.000
W2 W 0.062 0.062 0.628
W3 W 0.389 0.389 0.297
W4 W 0.659 0.659 0.333
W5 W 0.732 0.732 0.960
Au1 Au 0.333 0.333 0.671
```

No. 9
VASP calculation (PBE) on an optimized crystal structure of TmPu2N.

## Properties
Formation energy from raw total energies = 0.22 eV/f.u.
V = 83.3 Å³/cell
DFT total energy = -10.310 eV/atom

```
data_TmPu2N
_cell_length_a 6.580
_cell_length_b 6.580
_cell_length_c 6.580
_cell_angle_alpha 34.92
_cell_angle_beta 34.92
_cell_angle_gamma 34.92
_symmetry_space_group_name_H-M 'P 1'
_symmetry_Int_Tables_number 1
loop_
_symmetry_equiv_pos_as_xyz
'x,y,z'
loop_
_atom_site_label
_atom_site_type_symbol
_atom_site_fract_x
_atom_site_fract_y
_atom_site_fract_z
Tm1 Tm 0.000 0.000 0.000
Pu1 Pu 0.190 0.190 0.190
Pu2 Pu 0.810 0.810 0.810
N1 N 0.500 0.500 0.500
```

No. 10
VASP calculation (PBE) on an optimized crystal structure of AgSn2Au4.

## Properties
V = 308.6 Å³/cell
DFT total energy = -3.411 eV/atom
Calculated formation energy = 0.013 eV per atom

```
data_AgSn2Au4
_cell_length_a 5.378
_cell_length_b 6.635
_cell_length_c 8.651
_cell_angle_alpha 90.00
_cell_angle_beta 91.60
_cell_angle_gamma 90.00
_symmetry_space_group_name_H-M 'P 1'
_symmetry_Int_Tables_number 1
loop_
_symmetry_equiv_pos_as_xyz
'x,y,z'
loop_
_atom_site_label
_atom_site_type_symbol
_atom_site_fract_x
_atom_site_fract_y
_atom_site_fract_z
Ag1 Ag 0.206 0.250 0.127
Ag2 Ag 0.794 0.750 0.873
Sn1 Sn 0.049 0.250 0.498
Sn2 Sn 0.224 0.750 0.082
Sn3 Sn 0.776 0.250 0.918
Sn4 Sn 0.951 0.750 0.502
Au1 Au 0.255 0.250 0.804
Au2 Au 0.289 0.750 0.764
Au3 Au 0.367 0.530 0.360
Au4 Au 0.367 0.970 0.360
Au5 Au 0.633 0.030 0.640
Au6 Au 0.633 0.470 0.640
Au7 Au 0.711 0.250 0.236
Au8 Au 0.745 0.750 0.196
```

No. 11
VASP calculation (PBE) on an optimized crystal structure of UTlB5O11F.

## Properties
Formation energy from raw total energies = -45.03 eV/f.u.
V = 250.9 Å³/cell
DFT total energy = -7.815 eV/atom

```
data_UTlB5O11F
_cell_length_a 6.427
_cell_length_b 6.453
_cell_length_c 7.649
_cell_angle_alpha 86.26
_cell_angle_beta 66.49
_cell_angle_gamma 60.90
_symmetry_space_group_name_H-M 'P 1'
_symmetry_Int_Tables_number 1
loop_
_symmetry_equiv_pos_as_xyz
'x,y,z'
loop_
_atom_site_label
_atom_site_type_symbol
_atom_site_fract_x
_atom_site_fract_y
_atom_site_fract_z
U1 U 0.000 0.000 0.000
Tl1 Tl 0.564 0.441 0.545
B1 B 0.034 0.482 0.402
B2 B 0.048 0.506 0.070
B3 B 0.423 0.432 0.118
B4 B 0.456 0.094 0.923
B5 B 0.651 0.677 0.010
O1 O 0.147 0.923 0.740
O2 O 0.178 0.261 0.965
O3 O 0.244 0.580 0.030
O4 O 0.278 0.468 0.332
O5 O 0.456 0.867 0.975
O6 O 0.555 0.173 0.033
O7 O 0.641 0.475 0.067
O8 O 0.864 0.063 0.261
O9 O 0.864 0.690 0.999
O10 O 0.907 0.456 0.586
O11 O 0.915 0.515 0.277
F1 F 0.615 0.057 0.721
```

No. 12
VASP calculation (PBE) on an optimized crystal structure of Pm6Pt3F.

## Properties
Formation energy from raw total energies = -12.07 eV/f.u.
V = 527.0 Å³/cell
DFT total energy = -6.056 eV/atom

```
data_Pm6Pt3F
_cell_length_a 6.788
_cell_length_b 7.435
_cell_length_c 12.116
_cell_angle_alpha 90.00
_cell_angle_beta 120.49
_cell_angle_gamma 90.00
_symmetry_space_group_name_H-M 'P 1'
_symmetry_Int_Tables_number 1
loop_
_symmetry_equiv_pos_as_xyz
'x,y,z'
loop_
_atom_site_label
_atom_site_type_symbol
_atom_site_fract_x
_atom_site_fract_y
_atom_site_fract_z
Pm1 Pm 0.089 0.183 0.428
Pm2 Pm 0.089 0.317 0.928
Pm3 Pm 0.249 0.672 0.424
Pm4 Pm 0.249 0.828 0.924
Pm5 Pm 0.410 0.044 0.244
Pm6 Pm 0.410 0.456 0.744
Pm7 Pm 0.590 0.544 0.256
Pm8 Pm 0.590 0.956 0.756
Pm9 Pm 0.751 0.172 0.076
Pm10 Pm 0.751 0.328 0.576
Pm11 Pm 0.911 0.683 0.072
Pm12 Pm 0.911 0.817 0.572
Pt1 Pt 0.170 0.117 0.731
Pt2 Pt 0.170 0.383 0.231
Pt3 Pt 0.500 0.000 0.500
Pt4 Pt 0.500 0.500 0.000
Pt5 Pt 0.830 0.617 0.769
Pt6 Pt 0.830 0.883 0.269
F1 F 0.000 0.000 0.000
F2 F 0.000 0.500 0.500
```

M_tot (computed, μB/f.u.): 0.000 0.000 0.000 0.000 0.000 3.394 0.000 0.000 0.000 0.000 1.021 0.000